Record 1
The following is a DFT calculation (PBE) of an optimized crystal structure of Ho4B4O11F2.

Results
- Electronic total energy: -339.0 eV per cell
- Size of the total moment: 0.00 μB/cell
- SG: No. 15

abc: 7.019 7.019 13.516
angles: 91.44 91.44 37.96
Fractional positions:
O 0.181 0.051 0.430
O 0.010 0.634 0.743
O 0.990 0.366 0.257
O 0.815 0.381 0.723
O 0.587 0.256 0.967
O 0.163 0.837 0.750
O 0.949 0.819 0.070
O 0.413 0.744 0.033
O 0.256 0.587 0.467
O 0.744 0.413 0.533
O 0.185 0.619 0.277
O 0.054 0.772 0.896
O 0.228 0.946 0.604
O 0.837 0.163 0.250
O 0.772 0.054 0.396
O 0.619 0.185 0.777
O 0.634 0.010 0.243
O 0.051 0.181 0.930
O 0.366 0.990 0.757
O 0.819 0.949 0.570
O 0.381 0.815 0.223
O 0.946 0.228 0.104
B 0.863 0.945 0.978
B 0.055 0.137 0.522
B 0.137 0.055 0.022
B 0.120 0.068 0.713
B 0.880 0.932 0.287
B 0.945 0.863 0.478
B 0.932 0.880 0.787
B 0.068 0.120 0.213
Ho 0.458 0.425 0.130
Ho 0.425 0.458 0.630
Ho 0.295 0.266 0.370
Ho 0.542 0.575 0.870
Ho 0.266 0.295 0.870
Ho 0.734 0.705 0.130
Ho 0.705 0.734 0.630
Ho 0.575 0.542 0.370
F 0.240 0.297 0.576
F 0.703 0.760 0.924
F 0.297 0.240 0.076
F 0.760 0.703 0.424

Record 2
The following is a DFT calculation (PBE) of an optimized crystal structure of PrPa2.

Results
- Formation energy: 2.853 eV/atom
- Size of the total moment: 2.00 μB/cell
- SG: No. 227

abc: 8.654 8.654 8.654
angles: 60.00 60.00 60.00
Each line ends with the local moment (μB).
Fractional positions:
Pr 0.250 0.250 0.250  -0.04
Pr 0.500 0.500 0.500  -0.04
Pa 0.875 0.375 0.375  0.40
Pa 0.375 0.875 0.375  0.22
Pa 0.375 0.375 0.875  0.18
Pa 0.375 0.375 0.375  0.21